(1)
ReNiRu2 after structural relaxation. Source: the Alexandria database, functional PBE.

The magnetization comes out at 3.0 Bohr magnetons per cell. The value obtained for the formation energy is 0.393 eV per atom.

a = 2.8203 Å, b = 4.5130 Å, c = 8.8096 Å
α = 90.00°, β = 90.00°, γ = 90.00°
Space group Cmmm (No. 65)
Unique sites:
Re1 0.0000 0.0000 0.0000 [2 per cell]
Ni1 0.0000 0.0000 0.5000 [2 per cell]
Ru1 0.0000 0.5000 0.2561 [4 per cell]

(2)
Mn2AlCr after structural relaxation. Source: the Alexandria database, functional PBE.

The magnetization comes out at 0.9 Bohr magnetons per cell. The value obtained for the formation energy is -0.153 eV per atom.

a = 2.8510 Å, b = 2.8510 Å, c = 5.7904 Å
α = 90.00°, β = 90.00°, γ = 90.00°
Space group P4/mmm (No. 123)
Unique sites:
Mn1 0.0000 0.0000 0.2330 [2 per cell]
Al1 0.5000 0.5000 0.5000 [1 per cell]
Cr1 0.5000 0.5000 0.0000 [1 per cell]